# InPdIN2 PBE-GGA relaxed
# **Calculated density**: 5305 kg/m³
# **Symmetry**: P4/mmm (123)
# **Density of states at the Fermi level**: 2.69 states/eV/f.u.
# **Energy above the lowest structure with this stoichiometry**: 0.099 eV/atom
# **Formation energy (no corrections)**: 33.334 kcal/mol of atoms
data_InPdIN2
_cell_length_a 4.167
_cell_length_b 4.167
_cell_length_c 6.781
_cell_angle_alpha 90.00
_cell_angle_beta 90.00
_cell_angle_gamma 90.00
_space_group_name_H-M_alt 'P 1'
_space_group_IT_number 1
loop_
_space_group_symop_operation_xyz
'x,y,z'
loop_
_atom_site_label
_atom_site_type_symbol
_atom_site_fract_x
_atom_site_fract_y
_atom_site_fract_z
In1 In 0.000 0.000 0.000
Pd1 Pd 0.500 0.500 0.500
I1 I 0.000 0.000 0.500
N1 N 0.000 0.500 0.000
N2 N 0.500 0.000 0.000